! VFe4Ni2 (PBE, optimized geometry); values from VASP
&SYSTEM
  ibrav = 0, nat = 7, ntyp = 3
/
ATOMIC_SPECIES
Fe 55.84 Fe.upf
Ni 58.69 Ni.upf
V 50.94 V.upf
CELL_PARAMETERS angstrom
4.113 0.000 0.000
0.000 4.113 0.000
2.056 2.056 5.992
ATOMIC_POSITIONS crystal
Fe 0.197 0.197 0.605
Fe 0.000 0.500 0.000
Fe 0.803 0.803 0.395
Fe 0.500 0.000 0.000
Ni 0.611 0.611 0.777
Ni 0.389 0.389 0.223
V 0.000 0.000 0.000
! Space-group type = I4/mmm, No. 139
! Total magnetization = 1.25 μB/atom
! Density of states at the Fermi level = 7.521 states/eV/f.u.
! Energy of formation = 0.926 eV per atom

! V2TcOs2 (PBE, optimized geometry); values from VASP
&SYSTEM
  ibrav = 0, nat = 10, ntyp = 3
/
ATOMIC_SPECIES
V 50.94 V.upf
Os 190.23 Os.upf
Tc 98.00 Tc.upf
CELL_PARAMETERS angstrom
7.182 0.000 0.000
0.000 7.182 0.000
0.000 0.000 2.831
ATOMIC_POSITIONS crystal
V 0.835 0.335 0.500
V 0.335 0.165 0.500
V 0.665 0.835 0.500
V 0.165 0.665 0.500
Os 0.364 0.864 0.000
Os 0.864 0.636 0.000
Os 0.136 0.364 0.000
Os 0.636 0.136 0.000
Tc 0.500 0.500 0.000
Tc 0.000 0.000 0.000
! Space-group type = P4/mbm, No. 127
! Total magnetization = 0.00 μB/atom
! Density of states at the Fermi level = 6.054 states/eV/f.u.
! Energy of formation = 0.093 eV per atom

! DySc2Sb4 (PBE, optimized geometry); values from VASP
&SYSTEM
  ibrav = 0, nat = 14, ntyp = 3
/
ATOMIC_SPECIES
Dy 162.50 Dy.upf
Sb 121.76 Sb.upf
Sc 44.96 Sc.upf
CELL_PARAMETERS angstrom
-3.375 -1.321 2.142
3.193 -4.548 -1.912
8.495 0.267 13.552
ATOMIC_POSITIONS crystal
Dy 0.434 0.869 0.250
Dy 0.566 0.131 0.750
Sb 0.500 0.000 0.500
Sb 0.146 0.291 0.250
Sb 0.500 0.000 0.000
Sb 0.842 0.684 0.385
Sb 0.158 0.316 0.885
Sb 0.158 0.316 0.615
Sb 0.842 0.684 0.115
Sb 0.854 0.709 0.750
Sc 0.154 0.308 0.425
Sc 0.846 0.692 0.575
Sc 0.154 0.308 0.075
Sc 0.846 0.692 0.925
! Space-group type = Cmcm, No. 63
! Total magnetization = 0.00 μB/atom
! Density of states at the Fermi level = 2.812 states/eV/f.u.
! Energy relative to the elements, uncorrected = -0.723 eV per atom

! GdPaRh (PBE, optimized geometry); values from VASP
&SYSTEM
  ibrav = 0, nat = 3, ntyp = 3
/
ATOMIC_SPECIES
Rh 102.91 Rh.upf
Pa 231.04 Pa.upf
Gd 157.25 Gd.upf
CELL_PARAMETERS angstrom
3.566 0.000 0.000
0.000 3.566 0.000
-1.783 -1.783 5.521
ATOMIC_POSITIONS crystal
Rh 0.694 0.694 0.387
Pa 0.303 0.303 0.606
Gd 0.003 0.003 0.007
! Space-group type = I4mm, No. 107
! Total magnetization = 2.45 μB/atom
! Density of states at the Fermi level = 3.857 states/eV/f.u.
! Energy of formation = -0.456 eV per atom

! LaRh2W2 (PBE, optimized geometry); values from VASP
&SYSTEM
  ibrav = 0, nat = 5, ntyp = 3
/
ATOMIC_SPECIES
Rh 102.91 Rh.upf
W 183.84 W.upf
La 138.91 La.upf
CELL_PARAMETERS angstrom
-2.740 -1.973 -1.786
2.660 -1.949 -1.928
0.106 -6.494 2.927
ATOMIC_POSITIONS crystal
Rh 0.396 0.396 0.208
Rh 0.604 0.604 0.792
W 0.250 0.750 0.500
W 0.750 0.250 0.500
La 0.000 0.000 0.000
! Space-group type = I4/mmm, No. 139
! Total magnetization = 0.00 μB/atom
! Density of states at the Fermi level = 5.208 states/eV/f.u.
! Energy of formation = 0.003 eV per atom

! Be3ZnCu4 (PBE, optimized geometry); values from VASP
&SYSTEM
  ibrav = 0, nat = 16, ntyp = 3
/
ATOMIC_SPECIES
Cu 63.55 Cu.upf
Be 9.01 Be.upf
Zn 65.41 Zn.upf
CELL_PARAMETERS angstrom
3.759 0.000 0.000
0.000 6.040 0.000
0.000 0.000 7.513
ATOMIC_POSITIONS crystal
Cu 0.500 0.775 0.500
Cu 0.001 0.775 0.250
Cu 0.999 0.225 0.750
Cu 0.001 0.225 0.250
Cu 0.500 0.225 0.000
Cu 0.500 0.225 0.500
Cu 0.500 0.775 0.000
Cu 0.999 0.775 0.750
Be 0.499 0.000 0.750
Be 0.501 0.000 0.250
Be 0.500 0.500 0.750
Be 0.000 0.000 0.000
Be 0.000 0.000 0.500
Be 0.500 0.500 0.250
Zn 0.000 0.500 0.000
Zn 0.000 0.500 0.500
! Space-group type = P4/mmm, No. 123
! Total magnetization = 0.00 μB/atom
! Density of states at the Fermi level = 0.878 states/eV/f.u.
! Energy of formation = -0.067 eV per atom

What did the first record say?
! VFe4Ni2 (PBE, optimized geometry); values from VASP
&SYSTEM
  ibrav = 0, nat = 7, ntyp = 3
/
ATOMIC_SPECIES
Fe 55.84 Fe.upf
Ni 58.69 Ni.upf
V 50.94 V.upf
CELL_PARAMETERS angstrom
4.113 0.000 0.000
0.000 4.113 0.000
2.056 2.056 5.992
ATOMIC_POSITIONS crystal
Fe 0.197 0.197 0.605
Fe 0.000 0.500 0.000
Fe 0.803 0.803 0.395
Fe 0.500 0.000 0.000
Ni 0.611 0.611 0.777
Ni 0.389 0.389 0.223
V 0.000 0.000 0.000
! Space-group type = I4/mmm, No. 139
! Total magnetization = 1.25 μB/atom
! Density of states at the Fermi level = 7.521 states/eV/f.u.
! Energy of formation = 0.926 eV per atom

Question: Which of these has the highest density of states at the Fermi level?
Answer: VFe4Ni2